An optimized crystal structure of Er3Zn2Cd3, computed with PBE.

```
Er3Zn2Cd3
1.0
-1.506 3.064 1.576
-4.068 1.216 -6.253
-2.820 -4.253 5.576
Er Cd Zn
3 3 2
direct
0.500 0.594 0.000 Er
0.500 0.406 0.406 Er
0.500 0.000 0.594 Er
0.000 0.236 0.000 Cd
0.000 0.000 0.236 Cd
0.000 0.764 0.764 Cd
0.000 0.333 0.667 Zn
0.000 0.667 0.333 Zn
```

Properties
density of states at the Fermi level = 6.243 states/eV per cell
total magnetic moment = 0.0000 μB per atom
symmetry = P-62m
V = 23.25 Å³/atom
calculated formation energy = -0.297 eV/atom

***

An optimized crystal structure of PmHo2Tl9, computed with PBE.

```
PmHo2Tl9
1.0
4.778 0.000 0.000
0.000 4.778 0.000
0.000 0.000 14.342
Tl Ho Pm
9 2 1
direct
0.500 0.500 0.334 Tl
0.000 0.500 0.170 Tl
0.500 0.500 0.666 Tl
0.500 0.000 0.170 Tl
0.500 0.500 0.000 Tl
0.000 0.500 0.500 Tl
0.500 0.000 0.500 Tl
0.500 0.000 0.830 Tl
0.000 0.500 0.830 Tl
0.000 0.000 0.334 Ho
0.000 0.000 0.666 Ho
0.000 0.000 0.000 Pm
```

Properties
density of states at the Fermi level = 3.159 states/eV per cell
total magnetic moment = 0.0000 μB per atom
symmetry = P4/mmm
V = 27.28 Å³/atom
calculated formation energy = -0.248 eV/atom

***

An optimized crystal structure of Nd2TmScP4, computed with PBE.

```
Nd2TmScP4
1.0
4.022 0.000 0.000
0.000 6.958 0.121
0.000 -2.433 6.498
Nd P Sc Tm
2 4 1 1
direct
0.500 0.000 0.500 Nd
0.000 0.500 0.500 Nd
0.000 0.251 0.767 P
0.500 0.762 0.771 P
0.000 0.749 0.233 P
0.500 0.238 0.229 P
0.000 0.000 0.000 Sc
0.500 0.500 0.000 Tm
```

Properties
density of states at the Fermi level = 0.812 states/eV per cell
total magnetic moment = 0.0000 μB per atom
symmetry = P2/m
V = 22.88 Å³/atom
calculated formation energy = -1.509 eV/atom

***

An optimized crystal structure of Tm12Ni6Pd, computed with PBE.

```
Tm12Ni6Pd
1.0
-7.394 -0.659 2.849
4.145 -3.286 5.937
1.395 7.712 1.347
Ni Tm Pd
6 12 1
direct
0.864 0.382 0.685 Ni
0.315 0.136 0.618 Ni
0.136 0.618 0.315 Ni
0.618 0.315 0.136 Ni
0.685 0.864 0.382 Ni
0.382 0.685 0.864 Ni
0.056 0.670 0.913 Tm
0.412 0.567 0.178 Tm
0.822 0.588 0.433 Tm
0.913 0.056 0.670 Tm
0.944 0.330 0.087 Tm
0.588 0.433 0.822 Tm
0.567 0.178 0.412 Tm
0.087 0.944 0.330 Tm
0.670 0.913 0.056 Tm
0.433 0.822 0.588 Tm
0.178 0.412 0.567 Tm
0.330 0.087 0.944 Tm
0.000 0.000 0.000 Pd
```

Properties
density of states at the Fermi level = 15.690 states/eV per cell
total magnetic moment = 0.0000 μB per atom
symmetry = R-3
distance to the lowest polymorph of the same formula = 133 meV/atom
V = 24.93 Å³/atom
calculated formation energy = -0.261 eV/atom